Compound: Pm2Dy2Bi2P
Source: the Alexandria database
Functional: PBE
Structure: optimized geometry

Lattice parameters (Å, degrees): 5.1553 5.1553 9.0483 106.55 106.55 90.00
With the nearest neighbours (Å) after each atom.
Atoms (fractional coordinates):
Pm  0.1672  0.1672  0.3344  1 P 2.77
Pm  0.8328  0.8328  0.6656  1 P 2.77
Bi  0.6355  0.6355  0.2711  1 Pm 3.27, 4 Dy 3.42
Bi  0.3645  0.3645  0.7289  1 Pm 3.27, 4 Dy 3.42
P  0.0000  0.0000  0.0000  4 Dy 2.58, 2 Pm 2.77
Dy  0.5000  0.0000  0.0000  2 P 2.58
Dy  0.0000  0.5000  0.0000  2 P 2.58

Summary:
ΔE_f: -838 meV/atom